*1*
{"formula": "TlPbW2", "functional": "PBE-GGA", "state": "relaxed", "lattice_angstrom": [[5.6737, 0.0001, 0.0058], [2.4619, 5.1117, -0.0058], [-3.4267, -3.5761, 2.7675]], "species": ["W", "W", "Pb", "Tl"], "fractional_positions": [[0.0019, 0.0019, 0.0000], [0.4981, 0.4981, 0.0000], [0.2500, 0.7500, 0.5000], [0.7500, 0.2500, 0.5000]], "magnetic_moment_mub_per_fu": 0.0}

*2*
{"formula": "TlPbW2", "functional": "PBE-GGA", "state": "relaxed", "lattice_angstrom": [[3.2708, 0.0000, 0.0000], [0.0000, 3.2708, 0.0000], [0.0000, 0.0000, 8.6279]], "species": ["W", "W", "Pb", "Tl"], "fractional_positions": [[0.0000, 0.0000, 0.0525], [0.5000, 0.5000, 0.1968], [0.0000, 0.0000, 0.4482], [0.5000, 0.5000, 0.8024]], "magnetic_moment_mub_per_fu": 0.0}

Which structure is most stable? *2*, by 0.637 eV/atom over the runner-up.

*1*
{"formula": "TlPbW2", "functional": "PBE-GGA", "state": "relaxed", "lattice_angstrom": [[4.6068, 0.0000, 0.0000], [0.0000, 4.1910, 0.0000], [0.0000, 0.0000, 4.1910]], "species": ["Pb", "W", "W", "Tl"], "fractional_positions": [[0.5000, 0.5000, 0.0000], [0.0000, 0.0000, 0.0000], [0.0000, 0.5000, 0.5000], [0.5000, 0.0000, 0.5000]], "magnetic_moment_mub_per_fu": 0.0}

*2*
{"formula": "TlPbW2", "functional": "PBE-GGA", "state": "relaxed", "lattice_angstrom": [[-2.5831, -1.9958, 3.6232], [2.0411, -0.6450, 4.3819], [-1.4196, 2.7377, 3.7781]], "species": ["W", "W", "Tl", "Pb"], "fractional_positions": [[0.0000, 0.0000, 0.0000], [0.2500, 0.2500, 0.2500], [0.7500, 0.7500, 0.7500], [0.5000, 0.5000, 0.5000]], "magnetic_moment_mub_per_fu": 0.0}

Which structure is most stable? *2*, by 0.148 eV/atom over the runner-up.

*1*
{"formula": "TlPbW2", "functional": "PBE-GGA", "state": "relaxed", "lattice_angstrom": [[-4.6291, 3.1070, -0.1575], [-4.9527, 1.0085, 2.3582], [0.3247, 4.0527, 3.4223]], "species": ["Pb", "Tl", "W", "W"], "fractional_positions": [[0.5174, 0.5174, 0.4461], [0.7310, 0.7310, 0.8068], [0.2900, 0.2900, 0.2599], [0.9616, 0.9616, 0.9872]], "magnetic_moment_mub_per_fu": 0.0}

*2*
{"formula": "TlPbW2", "functional": "PBE-GGA", "state": "relaxed", "lattice_angstrom": [[-0.4091, 3.0571, 1.1130], [-1.6009, -1.1584, 2.5933], [6.3209, -1.4177, 6.2175]], "species": ["W", "W", "Tl", "Pb"], "fractional_positions": [[0.0000, 0.9090, 0.0520], [0.5000, 0.3382, 0.1970], [0.5000, 0.6156, 0.8036], [0.0000, 0.6372, 0.4473]], "magnetic_moment_mub_per_fu": 0.0}

*3*
{"formula": "TlPbW2", "functional": "PBE-GGA", "state": "relaxed", "lattice_angstrom": [[-0.9633, -7.5937, 1.6926], [6.7680, 0.0232, 3.9560], [1.4954, -3.0712, 5.2271]], "species": ["W", "W", "W", "W", "Pb", "Pb", "Tl", "Tl"], "fractional_positions": [[0.3750, 0.3733, 0.7500], [0.8750, 0.8767, 0.7500], [0.6267, 0.1250, 0.2500], [0.1233, 0.6250, 0.2500], [0.7500, 0.2500, 0.5000], [0.0000, 0.0000, 0.0000], [0.5000, 0.5000, 0.0000], [0.2500, 0.7500, 0.5000]], "magnetic_moment_mub_per_fu": 2.2}

*4*
{"formula": "TlPbW2", "functional": "PBE-GGA", "state": "relaxed", "lattice_angstrom": [[-0.8608, -2.8437, 0.5326], [1.8587, 1.0925, 2.1126], [-7.5364, 3.2120, 4.9695]], "species": ["Pb", "Tl", "W", "W"], "fractional_positions": [[0.5000, 0.5000, 0.2500], [0.5000, 0.5000, 0.7500], [0.0000, 0.0000, 0.4998], [0.0000, 0.0000, 0.0002]], "magnetic_moment_mub_per_fu": 0.0}

Which structure is most stable? *2*, by 0.349 eV/atom over the runner-up.

*1*
{"formula": "TlPbW2", "functional": "PBE-GGA", "state": "relaxed", "lattice_angstrom": [[5.2594, -0.0180, 0.0000], [1.7627, 4.9552, 0.0000], [-3.5111, -2.4686, 3.0397]], "species": ["Pb", "W", "W", "Tl"], "fractional_positions": [[0.5000, 0.5000, 0.0000], [0.2500, 0.7500, 0.5000], [0.0000, 0.0000, 0.0000], [0.7500, 0.2500, 0.5000]], "magnetic_moment_mub_per_fu": 0.0}

*2*
{"formula": "TlPbW2", "functional": "PBE-GGA", "state": "relaxed", "lattice_angstrom": [[5.5257, -0.0151, 0.0000], [2.3961, 4.9792, 0.0000], [-3.9609, -2.4821, 2.9469]], "species": ["Tl", "Pb", "W", "W"], "fractional_positions": [[0.7500, 0.2500, 0.5000], [0.2500, 0.7500, 0.5000], [0.0000, 0.0000, 0.0000], [0.5000, 0.5000, 0.0000]], "magnetic_moment_mub_per_fu": 0.0}

Which structure is most stable? *1*, by 0.152 eV/atom over the runner-up.

*1*
{"formula": "TlPbW2", "functional": "PBE-GGA", "state": "relaxed", "lattice_angstrom": [[-3.8769, -3.1194, -0.3161], [1.4474, -1.5264, -2.6890], [2.2789, -3.2153, 3.7798]], "species": ["Pb", "W", "W", "Tl"], "fractional_positions": [[0.5000, 0.2500, 0.2500], [0.0000, 0.4518, 0.5792], [0.0000, 0.0482, 0.9208], [0.5000, 0.7500, 0.7500]], "magnetic_moment_mub_per_fu": 0.0}

*2*
{"formula": "TlPbW2", "functional": "PBE-GGA", "state": "relaxed", "lattice_angstrom": [[3.3900, 0.0000, 0.0000], [0.0000, 3.3900, 0.0000], [0.0000, 0.0000, 6.7685]], "species": ["W", "W", "Tl", "Pb"], "fractional_positions": [[0.0000, 0.0000, 0.9920], [0.0000, 0.0000, 0.5080], [0.5000, 0.5000, 0.7500], [0.5000, 0.5000, 0.2500]], "magnetic_moment_mub_per_fu": 0.0}

*3*
{"formula": "TlPbW2", "functional": "PBE-GGA", "state": "relaxed", "lattice_angstrom": [[-2.6839, -3.4631, 1.9369], [-3.7147, -1.7956, -2.4340], [0.2106, -4.4547, -1.7491]], "species": ["W", "W", "Pb", "Tl"], "fractional_positions": [[0.2500, 0.2500, 0.2500], [0.7500, 0.7500, 0.7500], [0.5000, 0.5000, 0.5000], [0.0000, 0.0000, 0.0000]], "magnetic_moment_mub_per_fu": 0.0}

*4*
{"formula": "TlPbW2", "functional": "PBE-GGA", "state": "relaxed", "lattice_angstrom": [[-7.1699, -6.2363, -1.7291], [-4.7804, -7.9250, -2.7625], [-5.4981, -7.9369, 0.2565]], "species": ["Tl", "W", "W", "Pb"], "fractional_positions": [[0.7500, 0.7500, 0.7500], [0.0001, 0.0001, 0.0001], [0.4999, 0.4999, 0.4999], [0.2500, 0.2500, 0.2500]], "magnetic_moment_mub_per_fu": 0.0}

Which structure is most stable? *1*, by 0.149 eV/atom over the runner-up.

*1*
{"formula": "TlPbW", "functional": "PBE-GGA", "state": "relaxed", "lattice_angstrom": [[-3.7719, -3.9898, -6.9815], [-0.6687, -6.6180, -5.8858], [0.9037, 4.2879, 7.7256]], "species": ["W", "Pb", "Tl"], "fractional_positions": [[0.6640, 0.6640, 0.0000], [0.0279, 0.0279, 0.0000], [0.3081, 0.3081, 0.0000]], "magnetic_moment_mub_per_fu": 0.0}

*2*
{"formula": "TlPbW", "functional": "PBE-GGA", "state": "relaxed", "lattice_angstrom": [[-2.0830, 0.7278, -4.2953], [-1.6955, -3.7491, -2.5274], [-4.7628, -0.6131, -0.5086]], "species": ["Pb", "W", "Tl"], "fractional_positions": [[0.0000, 0.0000, 0.0000], [0.2500, 0.2500, 0.2500], [0.5000, 0.5000, 0.5000]], "magnetic_moment_mub_per_fu": 2.0}

*3*
{"formula": "TlPbW", "functional": "PBE-GGA", "state": "relaxed", "lattice_angstrom": [[5.6077, 0.0001, -0.0271], [3.2415, 4.5759, 0.0271], [-4.4131, -2.3102, 2.5757]], "species": ["Tl", "W", "Pb"], "fractional_positions": [[0.3236, 0.3236, 0.0000], [0.6626, 0.6626, 0.0000], [0.0138, 0.0138, 0.0000]], "magnetic_moment_mub_per_fu": 0.0}

*4*
{"formula": "TlPbW", "functional": "PBE-GGA", "state": "relaxed", "lattice_angstrom": [[3.1037, 0.0000, 0.0000], [-1.5519, 2.6879, 0.0000], [0.0000, 0.0000, 8.8092]], "species": ["W", "Tl", "Pb"], "fractional_positions": [[0.3333, 0.6667, 0.6698], [0.6667, 0.3333, 0.3769], [0.0000, 0.0000, 0.9533]], "magnetic_moment_mub_per_fu": 0.0}

Which structure is most stable? *4*, by 0.040 eV/atom over the runner-up.

*1*
{"formula": "TlPb2W2", "functional": "PBE-GGA", "state": "relaxed", "lattice_angstrom": [[-8.3813, 2.1902, 2.7293], [2.0433, -2.6879, 8.4316], [0.9461, 2.7957, 0.6620]], "species": ["W", "W", "W", "W", "Pb", "Pb", "Pb", "Pb", "Tl", "Tl"], "fractional_positions": [[0.5925, 0.9075, 0.5000], [0.0925, 0.5925, 0.5000], [0.4075, 0.0925, 0.5000], [0.9075, 0.4075, 0.5000], [0.1848, 0.3152, 0.0000], [0.3152, 0.8152, 0.0000], [0.6848, 0.1848, 0.0000], [0.8152, 0.6848, 0.0000], [0.0000, 0.0000, 0.0000], [0.5000, 0.5000, 0.0000]], "magnetic_moment_mub_per_fu": 0.0}

*2*
{"formula": "TlPb2W2", "functional": "PBE-GGA", "state": "relaxed", "lattice_angstrom": [[-1.7170, -2.1141, 2.5090], [3.2578, -1.4341, 1.0211], [1.7708, 5.1251, 8.2632]], "species": ["Pb", "Pb", "W", "W", "Tl"], "fractional_positions": [[0.3761, 0.3761, 0.2479], [0.6239, 0.6239, 0.7521], [0.7500, 0.2500, 0.5000], [0.2500, 0.7500, 0.5000], [0.0000, 0.0000, 0.0000]], "magnetic_moment_mub_per_fu": 0.0}

Which structure is most stable? *2*, by 0.325 eV/atom over the runner-up.

*1*
{"formula": "Y2Tl2Pb", "functional": "PBE-GGA", "state": "relaxed", "lattice_angstrom": [[-1.7036, 0.6836, 4.5881], [1.4596, -4.5605, 1.2214], [5.8064, 0.4531, 4.7497]], "species": ["Tl", "Tl", "Y", "Y", "Pb"], "fractional_positions": [[0.6049, 0.6049, 0.7902], [0.3951, 0.3951, 0.2098], [0.2500, 0.7500, 0.5000], [0.7500, 0.2500, 0.5000], [0.0000, 0.0000, 0.0000]], "magnetic_moment_mub_per_fu": 0.0}

*2*
{"formula": "Y2Tl2Pb", "functional": "PBE-GGA", "state": "relaxed", "lattice_angstrom": [[-5.1024, 3.4635, 5.6109], [-6.4251, -4.2059, -3.2466], [0.7659, -3.2620, 2.7101]], "species": ["Y", "Y", "Y", "Y", "Pb", "Pb", "Tl", "Tl", "Tl", "Tl"], "fractional_positions": [[0.6590, 0.1590, 0.0000], [0.1590, 0.3410, 0.0000], [0.3410, 0.8410, 0.0000], [0.8410, 0.6590, 0.0000], [0.0000, 0.0000, 0.0000], [0.5000, 0.5000, 0.0000], [0.1443, 0.6443, 0.5000], [0.8557, 0.3557, 0.5000], [0.6443, 0.8557, 0.5000], [0.3557, 0.1443, 0.5000]], "magnetic_moment_mub_per_fu": 0.0}

*3*
{"formula": "Y2Tl2Pb", "functional": "PBE-GGA", "state": "relaxed", "lattice_angstrom": [[-2.0191, -3.2372, -2.8738], [4.3414, 1.2022, -1.5880], [2.9486, -5.3808, 3.9842]], "species": ["Y", "Y", "Tl", "Tl", "Pb"], "fractional_positions": [[0.5003, 0.5002, 0.7607], [0.4997, 0.4998, 0.2393], [0.1789, 0.8211, 0.5002], [0.8211, 0.1789, 0.4998], [0.0000, 0.0000, 0.0000]], "magnetic_moment_mub_per_fu": 0.0}

*4*
{"formula": "Y2Tl2Pb", "functional": "PBE-GGA", "state": "relaxed", "lattice_angstrom": [[8.6917, 0.0000, 0.0000], [0.0000, 8.6917, 0.0000], [0.0000, 0.0000, 3.8263]], "species": ["Y", "Y", "Y", "Y", "Tl", "Tl", "Tl", "Tl", "Pb", "Pb"], "fractional_positions": [[0.8243, 0.3243, 0.5000], [0.3243, 0.1757, 0.5000], [0.6757, 0.8243, 0.5000], [0.1757, 0.6757, 0.5000], [0.3751, 0.8751, 0.0000], [0.8751, 0.6249, 0.0000], [0.1249, 0.3751, 0.0000], [0.6249, 0.1249, 0.0000], [0.5000, 0.5000, 0.0000], [0.0000, 0.0000, 0.0000]], "magnetic_moment_mub_per_fu": 0.0}

Which structure is most stable? *4*, by 0.073 eV/atom over the runner-up.

*1*
{"formula": "Y6Tl5Pb", "functional": "PBE-GGA", "state": "relaxed", "lattice_angstrom": [[5.1945, -0.0070, -1.4578], [-3.8950, 7.5310, -3.9158], [-0.2059, -1.1061, 9.2712]], "species": ["Tl", "Tl", "Tl", "Tl", "Tl", "Y", "Y", "Y", "Y", "Y", "Y", "Pb"], "fractional_positions": [[0.0000, 0.3340, 0.6660], [0.5000, 0.5000, 0.5000], [0.5000, 0.8303, 0.1697], [0.5000, 0.1697, 0.8303], [0.0000, 0.6660, 0.3340], [0.2497, 0.0831, 0.4163], [0.2497, 0.4163, 0.0831], [0.7503, 0.9169, 0.5837], [0.7503, 0.5837, 0.9169], [0.2505, 0.7503, 0.7503], [0.7495, 0.2497, 0.2497], [0.0000, 0.0000, 0.0000]], "magnetic_moment_mub_per_fu": 0.0}

*2*
{"formula": "Y6Tl5Pb", "functional": "PBE-GGA", "state": "relaxed", "lattice_angstrom": [[9.8176, -0.8481, 0.0000], [1.9197, 6.2803, 0.0000], [0.9598, 3.1401, 5.6023]], "species": ["Y", "Y", "Y", "Y", "Y", "Y", "Tl", "Tl", "Tl", "Tl", "Tl", "Pb"], "fractional_positions": [[0.2523, 0.9150, 0.6654], [0.7500, 0.7495, 0.0000], [0.2523, 0.5804, 0.3346], [0.7477, 0.4196, 0.6654], [0.2500, 0.2505, 0.0000], [0.7477, 0.0850, 0.3346], [0.5000, 0.1654, 0.6693], [0.5000, 0.5000, 0.0000], [0.5000, 0.8346, 0.3307], [0.0000, 0.6682, 0.6636], [0.0000, 0.3318, 0.3364], [0.0000, 0.0000, 0.0000]], "magnetic_moment_mub_per_fu": 0.0}

Which structure is most stable? *1*, by 0.075 eV/atom over the runner-up.

*1*
{"formula": "YTl3Pb", "functional": "PBE-GGA", "state": "relaxed", "lattice_angstrom": [[5.8456, 0.0000, 0.0000], [0.0000, 5.8456, 0.0000], [0.0000, 0.0000, 5.8456]], "species": ["Y", "Tl", "Tl", "Tl", "Pb"], "fractional_positions": [[0.0000, 0.0000, 0.0000], [0.5000, 0.0000, 0.0000], [0.0000, 0.0000, 0.5000], [0.0000, 0.5000, 0.0000], [0.5000, 0.5000, 0.5000]], "magnetic_moment_mub_per_fu": 0.0}

*2*
{"formula": "YTl3Pb", "functional": "PBE-GGA", "state": "relaxed", "lattice_angstrom": [[5.8197, 0.0000, 0.0000], [0.0000, 5.8197, 0.0000], [0.0000, 0.0000, 5.8197]], "species": ["Tl", "Tl", "Tl", "Y", "Pb"], "fractional_positions": [[0.5000, 0.0000, 0.0000], [0.0000, 0.0000, 0.5000], [0.0000, 0.5000, 0.0000], [0.5000, 0.5000, 0.5000], [0.0000, 0.0000, 0.0000]], "magnetic_moment_mub_per_fu": 0.0}

Which structure is most stable? *1*, by 0.112 eV/atom over the runner-up.